Ac2Co2PbO6 | GGA+U | relaxed

Cell and atoms, written as POSCAR:
```
Ac2Co2PbO6
1.0
6.056 0.000 0.000
3.028 5.244 0.000
3.028 1.748 6.170
Ac Co Pb O
2 2 1 6
Direct
0.800 0.800 0.600
0.200 0.200 0.400
0.437 0.437 0.690
0.563 0.563 0.310
0.000 0.000 0.000
0.743 0.743 0.304
0.210 0.743 0.304
0.743 0.210 0.304
0.257 0.790 0.696
0.790 0.257 0.696
0.257 0.257 0.696
```

E   -6.440 eV/atom